## BeGaH2Pb (PBEsol)

Data for an optimized crystal structure of BeGaH2Pb.

Properties
E_tot, Ry/atom: -0.2135

a = 3.8263 Å, b = 3.8263 Å, c = 5.2359 Å
α = 90.00°, β = 90.00°, γ = 90.00°
Fractional positions:
Be (0.0000, 0.0000, 0.0000)
Ga (0.5000, 0.5000, 0.0000)
H (0.0000, 0.5000, 0.5000)
H (0.5000, 0.0000, 0.5000)
Pb (0.0000, 0.0000, 0.5000)